Entry from Alexandria: a relaxed Rb2NpMnO6 crystal (PBE+U).

Properties
E_tot: -7.276 eV per atom
Space-group type: No. 139

Cell and atoms, written as POSCAR:
```
Rb2NpMnO6
1.0
-3.000 3.000 4.078
3.000 -3.000 4.078
3.000 3.000 -4.078
Rb Np Mn O
2 1 1 6
Cartesian
3.000 0.000 2.039 Rb
0.000 3.000 2.039 Rb
0.000 0.000 0.000 Np
0.000 0.000 4.078 Mn
1.408 1.408 0.000 O
1.592 -1.592 4.078 O
0.000 0.000 2.153 O
0.000 0.000 6.003 O
-1.592 1.592 4.078 O
1.592 1.592 4.078 O
```